[1]
Mg2CoCl | GGA-PBE | optimized geometry

Lattice parameters (Å, degrees): 3.235 3.235 8.085 101.86 101.86 59.58
Fractional coordinates of all 4 atoms:
Mg 0.249 0.249 0.237
Mg 0.751 0.751 0.763
Co 0.500 0.500 0.000
Cl 0.000 0.000 0.500

D(E_F) (states/eV/f.u.): 2.68
Relative energy among the computed polymorphs (meV/atom): 97
Raw formation energy (meV/atom): -271

=====

[2]
TlZnSb2Pt | GGA-PBE | optimized geometry

Lattice parameters (Å, degrees): 5.336 5.336 5.281 90.00 90.00 90.00
Fractional coordinates of all 5 atoms:
Tl 0.000 0.000 0.000
Zn 0.500 0.500 0.000
Sb 0.000 0.500 0.500
Sb 0.500 0.000 0.500
Pt 0.000 0.000 0.500

D(E_F) (states/eV/f.u.): 3.62
Raw formation energy (meV/atom): 333

=====

[3]
Ce2Ni3Ge5 | GGA-PBE | optimized geometry

Lattice parameters (Å, degrees): 12.361 12.361 6.736 90.00 90.00 160.36
Fractional coordinates of all 20 atoms:
Ce 0.022 0.978 0.500
Ce 0.327 0.673 0.488
Ce 0.673 0.327 0.988
Ce 0.978 0.022 0.000
Ni 0.106 0.894 0.232
Ni 0.280 0.720 0.011
Ni 0.447 0.553 0.285
Ni 0.553 0.447 0.785
Ni 0.720 0.280 0.511
Ni 0.894 0.106 0.732
Ge 0.097 0.903 0.860
Ge 0.204 0.796 0.300
Ge 0.213 0.787 0.709
Ge 0.380 0.620 0.989
Ge 0.448 0.552 0.671
Ge 0.552 0.448 0.171
Ge 0.620 0.380 0.489
Ge 0.787 0.213 0.209
Ge 0.796 0.204 0.800
Ge 0.903 0.097 0.360

Energy relative to the elements (eV/atom): -0.531
D(E_F) (states/eV/f.u.): 10.90
Relative energy among the computed polymorphs (meV/atom): 119

=====

Which of these has the highest D(E_F)?
Ce2Ni3Ge5

=====

Which of these has the lowest D(E_F)?
Mg2CoCl